Entry 1:
{"formula": "RbCoRu", "functional": "GGA-PBE", "state": "relaxed", "cell": [[0.0000, 3.2416, 3.2416], [3.2416, 0.0000, 3.2416], [3.2416, 3.2416, 0.0000]], "species": ["Rb", "Ru", "Co"], "fractional_positions": [[0.2500, 0.2500, 0.2500], [0.7500, 0.7500, 0.7500], [0.0000, 0.0000, 0.0000]], "density_g_cm3": 6.0, "magnetic_moment_mub_per_fu": 3.83, "e_above_lowest_polymorph_ev_per_atom": 1.182}

***

Entry 2:
{"formula": "Zr4AlPd", "functional": "GGA-PBE", "state": "relaxed", "cell": [[5.3727, -0.5238, 0.0000], [-2.0085, 7.5907, 0.0000], [-1.6821, -3.5335, 6.3448]], "species": ["Al", "Al", "Zr", "Zr", "Zr", "Zr", "Zr", "Zr", "Zr", "Zr", "Pd", "Pd"], "fractional_positions": [[0.6368, 0.3868, 0.7736], [0.3632, 0.6132, 0.2264], [0.2515, 0.6110, 0.8204], [0.3445, 0.9054, 0.6093], [0.6555, 0.0946, 0.3907], [0.0689, 0.2094, 0.8204], [0.7485, 0.3890, 0.1796], [0.9311, 0.7906, 0.1796], [0.2352, 0.2962, 0.3907], [0.7648, 0.7038, 0.6093], [0.2562, 0.0062, 0.0124], [0.7438, 0.9938, 0.9876]], "density_g_cm3": 6.6, "magnetic_moment_mub_per_fu": 0.00, "e_above_lowest_polymorph_ev_per_atom": 0.109}

***

Q: Which formation enthalpy at 0 K values were calculated for the entries above? A: 1.8144 -0.2822, in eV/atom.